Er5BiRh | PBE | optimized geometry

The structure belongs to space group C2/c (No. 15); the cell edges are 11.0358, 6.7960 and 11.3229 Å and the angles 90.00°, 107.92° and 90.00°. Symmetry generates all atoms from Er at (0.0000, 0.0346, 0.2500), Er at (0.1227, 0.3346, 0.0417), Er at (0.2173, 0.1801, 0.6388), Bi at (0.0000, 0.4619, 0.7500) and Rh at (0.0000, 0.0000, 0.0000).

The total magnetization comes out at 0.000 μB/atom. The total energy is -145.7 eV/cell.